(1)
## LaHg2Se (SCAN)

Data for LaHg2Se at its PBEsol-relaxed geometry.

Lattice parameters (Å, degrees): 4.235 5.347 5.436 108.75 90.00 113.33
Element x y z (fractional)
Hg1 0.998 0.995 0.950
Hg2 0.255 0.509 0.788
La1 0.482 0.964 0.416
Se1 0.766 0.531 0.346

Computed properties:
- DOS at the Fermi energy (states/eV/cell) = 2.33

(2)
## CaInAu4 (SCAN)

Data for CaInAu4 at its PBEsol-relaxed geometry.

Lattice parameters (Å, degrees): 5.518 5.518 5.518 60.00 60.00 60.00
Element x y z (fractional)
Ca1 0.750 0.750 0.750
Au1 0.375 0.375 0.375
Au2 0.375 0.375 0.875
Au3 0.875 0.375 0.375
Au4 0.375 0.875 0.375
In1 0.000 0.000 0.000

Computed properties:
- DOS at the Fermi energy (states/eV/cell) = 3.78

(3)
## Fe4C3 (SCAN)

Data for Fe4C3 at its PBEsol-relaxed geometry.

Lattice parameters (Å, degrees): 3.894 3.894 3.894 90.00 90.00 90.00
Each line ends with the local moment (μB).
Element x y z (fractional)
C1 0.000 0.500 0.000  -0.03
C2 0.000 0.000 0.500  -0.03
C3 0.500 0.000 0.000  -0.03
Fe1 0.000 0.000 0.000  1.90
Fe2 0.000 0.500 0.500  1.94
Fe3 0.500 0.000 0.500  1.94
Fe4 0.500 0.500 0.000  1.94

Computed properties:
- DOS at the Fermi energy (states/eV/cell) = 4.83

(4)
## TaCrCoH2 (SCAN)

Data for TaCrCoH2 at its PBEsol-relaxed geometry.

Lattice parameters (Å, degrees): 3.398 3.398 4.773 90.00 90.00 90.00
Each line ends with the local moment (μB).
Element x y z (fractional)
Cr1 0.000 0.000 0.500  2.09
Co1 0.500 0.500 0.500  1.92
H1 0.000 0.500 0.000  0.01
H2 0.500 0.000 0.000  0.01
Ta1 0.000 0.000 0.000  -0.23

Computed properties:
- DOS at the Fermi energy (states/eV/cell) = 2.94

(5)
## Zr2PbCl (SCAN)

Data for Zr2PbCl at its PBEsol-relaxed geometry.

Lattice parameters (Å, degrees): 3.232 5.292 5.524 99.56 90.00 107.78
Element x y z (fractional)
Pb1 0.258 0.515 0.806
Zr1 0.010 0.020 0.015
Zr2 0.747 0.493 0.311
Cl1 0.486 0.972 0.369

Computed properties:
- DOS at the Fermi energy (states/eV/cell) = 2.85

(6)
## ScTeIr (SCAN)

Data for ScTeIr at its PBEsol-relaxed geometry.

Lattice parameters (Å, degrees): 3.384 4.421 4.421 120.00 90.00 90.00
Element x y z (fractional)
Ir1 0.121 0.000 0.000
Sc1 0.678 0.667 0.333
Te1 0.201 0.333 0.667

Computed properties:
- DOS at the Fermi energy (states/eV/cell) = 1.15

(7)
## V2CuMo (SCAN)

Data for V2CuMo at its PBEsol-relaxed geometry.

Lattice parameters (Å, degrees): 4.212 4.212 4.212 60.00 60.00 60.00
Element x y z (fractional)
Mo1 0.000 0.000 0.000
Cu1 0.500 0.500 0.500
V1 0.250 0.250 0.250
V2 0.750 0.750 0.750

Computed properties:
- DOS at the Fermi energy (states/eV/cell) = 5.15

(8)
## K3MgIr (SCAN)

Data for K3MgIr at its PBEsol-relaxed geometry.

Lattice parameters (Å, degrees): 6.034 6.034 6.034 90.00 90.00 90.00
Each line ends with the local moment (μB).
Element x y z (fractional)
K1 0.000 0.500 0.000  0.00
K2 0.000 0.000 0.500  0.00
K3 0.500 0.000 0.000  0.00
Ir1 0.000 0.000 0.000  0.67
Mg1 0.500 0.500 0.500  -0.01

Computed properties:
- DOS at the Fermi energy (states/eV/cell) = 4.75

(9)
## Rb2InBi (SCAN)

Data for Rb2InBi at its PBEsol-relaxed geometry.

Lattice parameters (Å, degrees): 6.027 6.027 6.027 60.00 60.00 60.00
Element x y z (fractional)
Bi1 0.500 0.500 0.500
Rb1 0.250 0.250 0.250
Rb2 0.750 0.750 0.750
In1 0.000 0.000 0.000

(10)
## MgSbPb2 (SCAN)

Data for MgSbPb2 at its PBEsol-relaxed geometry.

Lattice parameters (Å, degrees): 5.374 5.374 5.374 60.00 60.00 60.00
Element x y z (fractional)
Mg1 0.000 0.000 0.000
Pb1 0.250 0.250 0.250
Pb2 0.750 0.750 0.750
Sb1 0.500 0.500 0.500

Computed properties:
- distance to the lowest polymorph of the same formula (meV/atom) = 112
- DOS at the Fermi energy (states/eV/cell) = 2.06

(11)
## Hg2Ir (SCAN)

Data for Hg2Ir at its PBEsol-relaxed geometry.

Lattice parameters (Å, degrees): 2.973 2.973 12.803 96.67 96.67 90.00
Element x y z (fractional)
Hg1 0.675 0.175 0.350
Hg2 0.825 0.325 0.650
Hg3 0.425 0.425 0.850
Hg4 0.575 0.575 0.150
Ir1 0.000 0.000 0.000
Ir2 0.250 0.750 0.500

Computed properties:
- DOS at the Fermi energy (states/eV/cell) = 4.71

(12)
## IrRhCl (SCAN)

Data for IrRhCl at its PBEsol-relaxed geometry.

Lattice parameters (Å, degrees): 2.879 2.879 6.050 90.00 90.00 120.00
Element x y z (fractional)
Ir1 0.667 0.333 0.659
Rh1 0.333 0.667 0.330
Cl1 0.000 0.000 0.011

Computed properties:
- distance to the lowest polymorph of the same formula (meV/atom) = 0
- DOS at the Fermi energy (states/eV/cell) = 3.84

(13)
## ZrTlMo2 (SCAN)

Data for ZrTlMo2 at its PBEsol-relaxed geometry.

Lattice parameters (Å, degrees): 4.359 4.050 4.050 90.00 90.00 90.00
Element x y z (fractional)
Mo1 0.000 0.000 0.500
Mo2 0.000 0.500 0.000
Tl1 0.500 0.500 0.500
Zr1 0.500 0.000 0.000

Computed properties:
- distance to the lowest polymorph of the same formula (meV/atom) = 0
- DOS at the Fermi energy (states/eV/cell) = 2.20

(14)
## CaAs2RhSe (SCAN)

Data for CaAs2RhSe at its PBEsol-relaxed geometry.

Lattice parameters (Å, degrees): 4.638 4.638 5.376 90.00 90.00 90.00
Element x y z (fractional)
As1 0.000 0.500 0.000
As2 0.500 0.000 0.000
Rh1 0.000 0.000 0.000
Ca1 0.500 0.500 0.500
Se1 0.000 0.000 0.500

Computed properties:
- DOS at the Fermi energy (states/eV/cell) = 3.52

(15)
## Ni3BiSe (SCAN)

Data for Ni3BiSe at its PBEsol-relaxed geometry.

Lattice parameters (Å, degrees): 4.382 4.382 4.382 90.00 90.00 90.00
Element x y z (fractional)
Ni1 0.000 0.500 0.000
Ni2 0.000 0.000 0.500
Ni3 0.500 0.000 0.000
Bi1 0.500 0.500 0.500
Se1 0.000 0.000 0.000

Computed properties:
- DOS at the Fermi energy (states/eV/cell) = 2.45

(16)
## ZnSiMo2 (SCAN)

Data for ZnSiMo2 at its PBEsol-relaxed geometry.

Lattice parameters (Å, degrees): 4.300 4.300 4.300 60.00 60.00 60.00
Element x y z (fractional)
Mo1 0.000 0.000 0.000
Mo2 0.750 0.750 0.750
Si1 0.500 0.500 0.500
Zn1 0.250 0.250 0.250

Computed properties:
- distance to the lowest polymorph of the same formula (meV/atom) = 0
- DOS at the Fermi energy (states/eV/cell) = 1.03

(17)
## SiTe2AuI (SCAN)

Data for SiTe2AuI at its PBEsol-relaxed geometry.

Lattice parameters (Å, degrees): 5.332 5.379 5.379 90.00 90.00 90.00
Element x y z (fractional)
I1 0.500 0.000 0.000
Si1 0.500 0.500 0.500
Te1 0.000 0.000 0.500
Te2 0.000 0.500 0.000
Au1 0.000 0.000 0.000

Computed properties:
- DOS at the Fermi energy (states/eV/cell) = 3.63

(18)
## CaZnAs2 (SCAN)

Data for CaZnAs2 at its PBEsol-relaxed geometry.

Lattice parameters (Å, degrees): 3.842 4.679 5.439 110.91 90.00 114.24
Element x y z (fractional)
As1 0.724 0.448 0.678
As2 0.276 0.552 0.322
Ca1 0.500 0.000 0.000
Zn1 0.000 0.000 0.500

Computed properties:
- DOS at the Fermi energy (states/eV/cell) = 1.35

(19)
## Hg2TeS (SCAN)

Data for Hg2TeS at its PBEsol-relaxed geometry.

Lattice parameters (Å, degrees): 4.373 4.373 7.610 73.30 73.30 60.00
Element x y z (fractional)
S1 0.126 0.126 0.622
Te1 0.623 0.623 0.131
Hg1 0.009 0.009 0.974
Hg2 0.493 0.493 0.522

Computed properties:
- distance to the lowest polymorph of the same formula (meV/atom) = 25
- DOS at the Fermi energy (states/eV/cell) = 0.31

(20)
## KTl2Sb (SCAN)

Data for KTl2Sb at its PBEsol-relaxed geometry.

Lattice parameters (Å, degrees): 4.683 5.358 6.039 116.34 112.81 90.00
Element x y z (fractional)
Sb1 0.270 0.770 0.540
Tl1 0.984 0.984 0.968
Tl2 0.736 0.236 0.471
K1 0.510 0.510 0.020

Computed properties:
- DOS at the Fermi energy (states/eV/cell) = 1.24

(21)
## La2ScP2 (SCAN)

Data for La2ScP2 at its PBEsol-relaxed geometry.

Lattice parameters (Å, degrees): 5.390 5.390 6.196 115.78 115.78 90.00
Each line ends with the local moment (μB).
Element x y z (fractional)
La1 0.672 0.672 0.344  0.21
La2 0.328 0.328 0.656  0.21
P1 0.250 0.750 0.500  -0.04
P2 0.750 0.250 0.500  -0.04
Sc1 0.000 0.000 0.000  0.93

Computed properties:
- distance to the lowest polymorph of the same formula (meV/atom) = 769
- DOS at the Fermi energy (states/eV/cell) = 2.76

(22)
## LiCd2Ni (SCAN)

Data for LiCd2Ni at its PBEsol-relaxed geometry.

Lattice parameters (Å, degrees): 3.100 3.100 6.455 90.00 90.00 90.00
Element x y z (fractional)
Cd1 0.000 0.000 0.957
Cd2 0.500 0.500 0.286
Li1 0.000 0.000 0.535
Ni1 0.500 0.500 0.723

Computed properties:
- distance to the lowest polymorph of the same formula (meV/atom) = 125
- DOS at the Fermi energy (states/eV/cell) = 1.95

(23)
## CaSe2O (SCAN)

Data for CaSe2O at its PBEsol-relaxed geometry.

Lattice parameters (Å, degrees): 5.768 5.768 6.960 114.48 114.48 90.00
Element x y z (fractional)
Ca1 0.250 0.750 0.500
Ca2 0.000 0.000 0.000
O1 0.750 0.250 0.500
O2 0.500 0.500 0.000
Se1 0.522 0.875 0.250
Se2 0.728 0.375 0.250
Se3 0.125 0.272 0.750
Se4 0.625 0.478 0.750

Computed properties:
- DOS at the Fermi energy (states/eV/cell) = 0.74

(24)
## Y2ScPt (SCAN)

Data for Y2ScPt at its PBEsol-relaxed geometry.

Lattice parameters (Å, degrees): 5.023 5.023 5.023 60.00 60.00 60.00
Each line ends with the local moment (μB).
Element x y z (fractional)
Pt1 0.000 0.000 0.000  0.03
Sc1 0.500 0.500 0.500  0.55
Y1 0.250 0.250 0.250  0.25
Y2 0.750 0.750 0.750  0.25

Computed properties:
- distance to the lowest polymorph of the same formula (meV/atom) = 295
- DOS at the Fermi energy (states/eV/cell) = 4.54

(25)
## Ca2LaMo (SCAN)

Data for Ca2LaMo at its PBEsol-relaxed geometry.

Lattice parameters (Å, degrees): 3.616 3.616 8.927 90.00 90.00 90.00
Each line ends with the local moment (μB).
Element x y z (fractional)
Mo1 0.500 0.500 0.720  1.29
Ca1 0.000 0.000 0.941  -0.01
Ca2 0.500 0.500 0.270  -0.01
La1 0.000 0.000 0.569  0.04

Computed properties:
- distance to the lowest polymorph of the same formula (meV/atom) = 0
- DOS at the Fermi energy (states/eV/cell) = 3.52

(26)
## Zn2CdPd2 (SCAN)

Data for Zn2CdPd2 at its PBEsol-relaxed geometry.

Lattice parameters (Å, degrees): 2.849 7.339 7.339 90.00 90.00 90.00
Element x y z (fractional)
Zn1 0.500 0.156 0.656
Zn2 0.500 0.656 0.844
Zn3 0.500 0.844 0.344
Zn4 0.500 0.344 0.156
Pd1 0.000 0.360 0.860
Pd2 0.000 0.860 0.640
Pd3 0.000 0.640 0.140
Pd4 0.000 0.140 0.360
Cd1 0.000 0.000 0.000
Cd2 0.000 0.500 0.500

Computed properties:
- DOS at the Fermi energy (states/eV/cell) = 2.42

(27)
## Ca2AgSb (SCAN)

Data for Ca2AgSb at its PBEsol-relaxed geometry.

Lattice parameters (Å, degrees): 4.277 4.534 6.047 90.00 110.71 90.00
Element x y z (fractional)
Sb1 0.547 0.000 0.095
Ca1 0.984 0.500 0.969
Ca2 0.265 0.000 0.531
Ag1 0.703 0.500 0.405

Computed properties:
- DOS at the Fermi energy (states/eV/cell) = 1.29

(28)
## Sc2MoIr (SCAN)

Data for Sc2MoIr at its PBEsol-relaxed geometry.

Lattice parameters (Å, degrees): 2.915 4.562 5.435 96.85 90.00 108.63
Element x y z (fractional)
Ir1 0.000 0.000 0.500
Mo1 0.500 0.000 0.000
Sc1 0.743 0.486 0.745
Sc2 0.257 0.514 0.255

Computed properties:
- DOS at the Fermi energy (states/eV/cell) = 3.35

(29)
## BaSr2P (SCAN)

Data for BaSr2P at its PBEsol-relaxed geometry.

Lattice parameters (Å, degrees): 4.328 6.435 7.457 115.56 90.00 90.00
Each line ends with the local moment (μB).
Element x y z (fractional)
Sr1 0.000 0.150 0.301  -0.01
Sr2 0.000 0.850 0.699  -0.01
Ba1 0.500 0.500 0.000  -0.08
P1 0.500 0.000 0.000  0.00

Computed properties:
- DOS at the Fermi energy (states/eV/cell) = 2.63

Number 1: raw total energy -50.796 eV per atom, V 26.5 A^3/atom. Number 2: raw total energy -53.766 eV per atom, V 19.8 A^3/atom. Number 3: raw total energy -14.138 eV per atom, V 8.4 A^3/atom. Number 4: raw total energy -20.891 eV per atom, V 11.0 A^3/atom. Number 5: raw total energy -36.800 eV per atom, V 22.1 A^3/atom. Number 6: raw total energy -41.613 eV per atom, V 19.1 A^3/atom. Number 7: raw total energy -21.204 eV per atom, V 13.2 A^3/atom. Number 8: raw total energy -19.402 eV per atom, V 43.9 A^3/atom. Number 9: raw total energy -38.501 eV per atom, V 38.7 A^3/atom. Number 10: raw total energy -48.376 eV per atom, V 27.4 A^3/atom. Number 11: raw total energy -68.593 eV per atom, V 18.6 A^3/atom. Number 12: raw total energy -37.099 eV per atom, V 14.5 A^3/atom. Number 13: raw total energy -42.983 eV per atom, V 17.9 A^3/atom. Number 14: raw total energy -21.152 eV per atom, V 23.1 A^3/atom. Number 15: raw total energy -29.069 eV per atom, V 16.8 A^3/atom. Number 16: raw total energy -23.230 eV per atom, V 14.1 A^3/atom. Number 17: raw total energy -37.311 eV per atom, V 30.9 A^3/atom. Number 18: raw total energy -16.291 eV per atom, V 20.5 A^3/atom. Number 19: raw total energy -45.918 eV per atom, V 29.7 A^3/atom. Number 20: raw total energy -47.742 eV per atom, V 30.6 A^3/atom. Number 21: raw total energy -24.845 eV per atom, V 28.4 A^3/atom. Number 22: raw total energy -19.845 eV per atom, V 15.5 A^3/atom. Number 23: raw total energy -14.655 eV per atom, V 23.5 A^3/atom. Number 24: raw total energy -35.518 eV per atom, V 22.4 A^3/atom. Number 25: raw total energy -23.819 eV per atom, V 29.2 A^3/atom. Number 26: raw total energy -24.999 eV per atom, V 15.3 A^3/atom. Number 27: raw total energy -22.724 eV per atom, V 27.4 A^3/atom. Number 28: raw total energy -33.784 eV per atom, V 17.0 A^3/atom. Number 29: raw total energy -24.305 eV per atom, V 46.8 A^3/atom.